(1)
Here is a geometry-optimized La2FeMo structure from Alexandria. Energies are from PBE-GGA.

Cell and atoms, written as POSCAR:
```
La2FeMo
1.0
-1.875 2.665 4.416
1.875 -2.665 4.416
1.875 2.665 -4.416
La Fe Mo
2 1 1
Direct
0.218 0.218 0.000
0.782 0.782 0.000
0.000 0.500 0.500
0.500 0.000 0.500
```

Computed properties:
The density of states at the Fermi level comes out at 5.13 states/eV per cell. The space-group type is Immm. The crystal system is orthorhombic. The formation enthalpy at 0 K is 673 meV per atom. The calculation puts the mass density at 8.082 g/cm3.


(2)
Here is a geometry-optimized RbB2H8Pd structure from Alexandria. Energies are from PBE-GGA.

Cell and atoms, written as POSCAR:
```
RbB2H8Pd
1.0
4.638 -2.119 0.000
4.638 2.119 0.000
-3.965 0.000 7.073
Rb B H Pd
1 2 8 1
Direct
0.000 0.000 0.000
0.418 0.418 0.279
0.582 0.582 0.721
0.255 0.690 0.650
0.310 0.745 0.350
0.312 0.312 0.325
0.359 0.359 0.106
0.641 0.641 0.894
0.688 0.688 0.675
0.690 0.255 0.650
0.745 0.310 0.350
0.000 0.000 0.500
```

Computed properties:
The density of states at the Fermi level comes out at 1.74 states/eV per cell. Its total DFT energy (no corrections) is -3.994 eV/atom. The space-group type is C2/m. The crystal system is monoclinic. The calculation puts the mass density at 2.646 g/cm3.


(3)
Here is a geometry-optimized Ac5Bi4Br structure from Alexandria. Energies are from PBE-GGA.

Cell and atoms, written as POSCAR:
```
Ac5Bi4Br
1.0
-2.433 3.411 11.956
2.433 -3.411 11.956
2.433 3.411 -11.956
Ac Bi Br
5 4 1
Direct
0.000 0.000 0.000
0.200 0.200 0.000
0.398 0.398 0.000
0.602 0.602 0.000
0.800 0.800 0.000
0.099 0.599 0.500
0.302 0.802 0.500
0.698 0.198 0.500
0.901 0.401 0.500
0.500 0.000 0.500
```

Computed properties:
The density of states at the Fermi level comes out at 3.95 states/eV per cell. The space-group type is Immm. The calculation puts the uncorrected formation energy at -10.5 eV per formula unit. The crystal system is orthorhombic. The calculation puts the mass density at 8.580 g/cm3.


(4)
Here is a geometry-optimized PuTiS3 structure from Alexandria. Energies are from PBE-GGA.

Cell and atoms, written as POSCAR:
```
PuTiS3
1.0
7.890 0.000 0.000
0.000 3.672 0.000
0.000 0.000 12.979
Pu Ti S
4 4 12
Direct
0.084 0.250 0.176
0.416 0.750 0.676
0.584 0.250 0.324
0.916 0.750 0.824
0.159 0.750 0.448
0.341 0.250 0.948
0.659 0.750 0.052
0.841 0.250 0.552
0.026 0.750 0.614
0.157 0.750 0.011
0.195 0.250 0.786
0.305 0.750 0.286
0.343 0.250 0.511
0.474 0.250 0.114
0.526 0.750 0.886
0.657 0.750 0.489
0.695 0.250 0.714
0.805 0.750 0.214
0.843 0.250 0.989
0.974 0.250 0.386
```

Computed properties:
The density of states at the Fermi level comes out at 40.03 states/eV per cell. The space-group type is Pnma. The calculation puts the uncorrected formation energy at -7.6 eV per formula unit. The crystal system is orthorhombic. The calculation puts the mass density at 6.854 g/cm3.


(5)
Here is a geometry-optimized Ta2Ir2Pd structure from Alexandria. Energies are from PBE-GGA.

Cell and atoms, written as POSCAR:
```
Ta2Ir2Pd
1.0
7.535 0.000 0.000
0.000 7.535 0.000
0.000 0.000 2.974
Ta Ir Pd
4 4 2
Direct
0.165 0.335 0.000
0.335 0.835 0.000
0.665 0.165 0.000
0.835 0.665 0.000
0.134 0.634 0.500
0.366 0.134 0.500
0.634 0.866 0.500
0.866 0.366 0.500
0.000 0.000 0.500
0.500 0.500 0.500
```

Computed properties:
The density of states at the Fermi level comes out at 5.38 states/eV per cell. The space-group type is P4/mbm. The crystal system is tetragonal. The formation enthalpy at 0 K is -469 meV per atom. The calculation puts the mass density at 16.773 g/cm3.


(6)
Here is a geometry-optimized ZrBeCd structure from Alexandria. Energies are from PBE-GGA.

Cell and atoms, written as POSCAR:
```
ZrBeCd
1.0
0.000 3.206 3.206
3.206 0.000 3.206
3.206 3.206 0.000
Zr Be Cd
1 1 1
Direct
0.000 0.000 0.000
0.750 0.750 0.750
0.250 0.250 0.250
```

Computed properties:
The density of states at the Fermi level comes out at 2.04 states/eV per cell. The space-group type is F-43m. The crystal system is cubic. The formation enthalpy at 0 K is 775 meV per atom. The calculation puts the mass density at 5.359 g/cm3.


(7)
Here is a geometry-optimized NaLiGeRh structure from Alexandria. Energies are from PBE-GGA.

Cell and atoms, written as POSCAR:
```
NaLiGeRh
1.0
0.000 3.127 3.127
3.127 0.000 3.127
3.127 3.127 0.000
Na Li Ge Rh
1 1 1 1
Direct
0.000 0.000 0.000
0.750 0.750 0.750
0.500 0.500 0.500
0.250 0.250 0.250
```

Computed properties:
The density of states at the Fermi level comes out at 1.69 states/eV per cell. The space-group type is F-43m. The crystal system is cubic. The formation enthalpy at 0 K is -200 meV per atom. The calculation puts the mass density at 5.581 g/cm3.


(8)
Here is a geometry-optimized Tl3ZnPd structure from Alexandria. Energies are from PBE-GGA.

Cell and atoms, written as POSCAR:
```
Tl3ZnPd
1.0
5.237 0.000 0.000
0.000 5.237 0.000
0.000 0.000 5.237
Tl Zn Pd
3 1 1
Direct
0.000 0.000 0.500
0.000 0.500 0.000
0.500 0.000 0.000
0.000 0.000 0.000
0.500 0.500 0.500
```

Computed properties:
The density of states at the Fermi level comes out at 2.96 states/eV per cell. The space-group type is Pm-3m. The crystal system is cubic. The formation enthalpy at 0 K is 478 meV per atom. The calculation puts the mass density at 9.073 g/cm3.


(9)
Here is a geometry-optimized RbCd3Pd structure from Alexandria. Energies are from PBE-GGA.

Cell and atoms, written as POSCAR:
```
RbCd3Pd
1.0
0.000 7.300 7.300
7.300 0.000 7.300
7.300 7.300 0.000
Rb Cd Pd
4 12 4
Direct
0.000 0.000 0.000
0.000 0.000 0.500
0.000 0.500 0.000
0.500 0.000 0.000
0.207 0.207 0.543
0.207 0.543 0.207
0.207 0.543 0.543
0.457 0.457 0.793
0.457 0.793 0.457
0.457 0.793 0.793
0.543 0.207 0.207
0.543 0.207 0.543
0.543 0.543 0.207
0.793 0.457 0.457
0.793 0.457 0.793
0.793 0.793 0.457
0.000 0.500 0.500
0.500 0.000 0.500
0.500 0.500 0.000
0.500 0.500 0.500
```

Computed properties:
The density of states at the Fermi level comes out at 6.70 states/eV per cell. The space-group type is Fd-3m. The crystal system is cubic. The formation enthalpy at 0 K is -54 meV per atom. The calculation puts the mass density at 4.517 g/cm3.


(10)
Here is a geometry-optimized CeThTe4 structure from Alexandria. Energies are from PBE-GGA.

Cell and atoms, written as POSCAR:
```
CeThTe4
1.0
5.166 -5.199 0.000
5.166 5.199 0.000
0.000 0.000 4.643
Ce Th Te
1 1 4
Direct
0.000 0.000 0.000
0.500 0.500 0.500
0.197 0.197 0.500
0.300 0.700 0.000
0.700 0.300 0.000
0.803 0.803 0.500
```

Computed properties:
The density of states at the Fermi level comes out at 2.60 states/eV per cell. The space-group type is Cmmm. The calculation puts the uncorrected formation energy at -6.2 eV per formula unit. The crystal system is orthorhombic. The calculation puts the mass density at 5.876 g/cm3.


(11)
Here is a geometry-optimized K2TlMo structure from Alexandria. Energies are from PBE-GGA.

Cell and atoms, written as POSCAR:
```
K2TlMo
1.0
-4.856 4.856 3.012
4.856 -4.856 3.012
4.856 4.856 -3.012
K Tl Mo
4 2 2
Direct
0.125 0.625 0.000
0.375 0.375 0.500
0.625 0.125 0.000
0.875 0.875 0.500
0.000 0.000 0.000
0.750 0.250 0.500
0.250 0.750 0.500
0.500 0.500 0.000
```

Computed properties:
The density of states at the Fermi level comes out at 6.08 states/eV per cell. The space-group type is I-42d. The crystal system is tetragonal. The formation enthalpy at 0 K is 1105 meV per atom. The calculation puts the mass density at 4.425 g/cm3.


(12)
Here is a geometry-optimized InSi2Ir2 structure from Alexandria. Energies are from PBE-GGA.

Cell and atoms, written as POSCAR:
```
InSi2Ir2
1.0
3.523 0.000 0.000
0.000 3.523 0.000
0.000 0.000 6.440
In Si Ir
1 2 2
Direct
0.000 0.000 0.000
0.000 0.500 0.500
0.500 0.000 0.500
0.500 0.500 0.225
0.500 0.500 0.775
```

Computed properties:
The density of states at the Fermi level comes out at 2.13 states/eV per cell. The space-group type is P4/mmm. The calculation puts the uncorrected formation energy at -0.6 eV per formula unit. The crystal system is tetragonal. The calculation puts the mass density at 11.538 g/cm3.


(13)
Here is a geometry-optimized LiMg3 structure from Alexandria. Energies are from PBE-GGA.

Cell and atoms, written as POSCAR:
```
LiMg3
1.0
3.057 0.000 0.000
0.000 4.892 0.000
-1.043 0.000 5.789
Li Mg
1 3
Direct
0.000 0.000 0.000
0.205 0.500 0.761
0.500 0.000 0.500
0.795 0.500 0.239
```

Computed properties:
The density of states at the Fermi level comes out at 1.36 states/eV per cell. The space-group type is P2/m. The crystal system is monoclinic. The formation enthalpy at 0 K is -37 meV per atom. The calculation puts the mass density at 1.532 g/cm3.


(14)
Here is a geometry-optimized La3CeN4 structure from Alexandria. Energies are from PBE-GGA.

Cell and atoms, written as POSCAR:
```
La3CeN4
1.0
3.706 0.000 0.000
0.000 3.706 0.000
0.000 0.000 10.476
La Ce N
3 1 4
Direct
0.000 0.000 0.000
0.500 0.500 0.255
0.500 0.500 0.745
0.000 0.000 0.500
0.000 0.000 0.271
0.000 0.000 0.729
0.500 0.500 0.000
0.500 0.500 0.500
```

Computed properties:
The density of states at the Fermi level comes out at 4.24 states/eV per cell. The space-group type is P4/mmm. The calculation puts the uncorrected formation energy at -10.9 eV per formula unit. The crystal system is tetragonal. The calculation puts the mass density at 7.074 g/cm3.